Material: YMnCrO5
Method: DFT, PBE with a Hubbard U
State: optimized geometry

**Magnetic moment**: 24.0 μB per cell
**Crystal system**: orthorhombic
**Calculated total energy**: -0.5899 Ry/atom

Lattice parameters (Å, degrees): 5.853 7.226 8.624 90.00 90.00 90.00
Site moments in Bohr magnetons follow the coordinates.
Sites, in units of the cell vectors:
O 0.259 0.388 0.790  -0.07
O 0.000 0.855 0.415  -0.21
O 0.500 0.170 0.555  -0.08
O 0.259 0.888 0.710  -0.07
O 0.000 0.145 0.585  -0.21
O 0.741 0.112 0.290  -0.07
O 0.222 0.000 0.000  -0.10
O 0.500 0.670 0.945  -0.08
O 0.741 0.888 0.710  -0.07
O 0.500 0.330 0.055  -0.08
O 0.259 0.612 0.210  -0.07
O 0.500 0.830 0.445  -0.08
O 0.000 0.355 0.085  -0.21
O 0.741 0.612 0.210  -0.07
O 0.741 0.388 0.790  -0.07
O 0.778 0.500 0.500  -0.10
O 0.259 0.112 0.290  -0.07
O 0.778 0.000 0.000  -0.10
O 0.222 0.500 0.500  -0.10
O 0.000 0.645 0.915  -0.21
Mn 0.000 0.595 0.350  3.70
Mn 0.000 0.405 0.650  3.70
Mn 0.000 0.095 0.150  3.70
Mn 0.000 0.905 0.850  3.70
Cr 0.249 0.500 0.000  2.69
Cr 0.249 0.000 0.500  2.69
Cr 0.751 0.500 0.000  2.69
Cr 0.751 0.000 0.500  2.69
Y 0.500 0.634 0.674  0.02
Y 0.500 0.134 0.826  0.02
Y 0.500 0.366 0.326  0.02
Y 0.500 0.866 0.174  0.02